[1]
SrP2Ir | PBE | relaxed

Results
Spin magnetization   0.00 Bohr magnetons per cell
Energy of formation   196 meV/atom
Density of states at the Fermi level   3.85 states/eV per cell

Unit cell a=7.4560 b=4.7605 c=3.2177 alpha=89.97 beta=64.47 gamma=129.60
Fractional positions:
Sr1 0.0000 0.5000 0.5000
P1 0.0000 0.0000 0.0000
P2 0.5000 0.0000 0.5000
Ir1 0.5000 0.5000 0.0000

[2]
SrP2Ir | PBE | relaxed

Results
Spin magnetization   0.00 Bohr magnetons per cell
Energy of formation   -784 meV/atom
Density of states at the Fermi level   1.63 states/eV per cell

Unit cell a=4.0357 b=4.0357 c=5.9408 alpha=70.16 beta=70.16 gamma=60.01
Fractional positions:
Ir1 0.2500 0.2500 0.2500
P1 0.5365 0.5365 0.3904
P2 0.9635 0.9635 0.1096
Sr1 0.7500 0.7500 0.7500

[3]
Sr2PIr | PBE | relaxed

Results
Spin magnetization   0.00 Bohr magnetons per cell
Energy of formation   15 meV/atom
Density of states at the Fermi level   2.60 states/eV per cell

Unit cell a=3.9114 b=4.7639 c=6.1471 alpha=75.58 beta=90.00 gamma=90.00
Fractional positions:
P1 0.0000 0.0000 0.5000
Sr1 0.5000 0.5000 0.5000
Ir1 0.5000 0.5000 0.0000
Sr2 0.0000 0.0000 0.0000

[4]
SrP3Ir | PBE | relaxed

Results
Spin magnetization   0.00 Bohr magnetons per cell
Energy of formation   2254 meV/atom
Density of states at the Fermi level   4.27 states/eV per cell

Unit cell a=5.1620 b=5.1620 c=5.1620 alpha=90.00 beta=90.00 gamma=90.00
Fractional positions:
P1 0.0000 0.0000 0.5000
P2 0.5000 0.0000 0.0000
Sr1 0.0000 0.0000 0.0000
Ir1 0.5000 0.5000 0.5000
P3 0.0000 0.5000 0.0000

[5]
SrPIr2 | PBE | relaxed

Results
Spin magnetization   0.00 Bohr magnetons per cell
Energy of formation   412 meV/atom
Density of states at the Fermi level   2.88 states/eV per cell

Unit cell a=5.0472 b=5.0472 c=5.0472 alpha=131.14 beta=131.14 gamma=71.59
Fractional positions:
Ir1 0.7500 0.2500 0.5000
Ir2 0.2500 0.7500 0.5000
P1 0.5000 0.5000 0.0000
Sr1 0.0000 0.0000 0.0000

[6]
SrP2Ir | PBE | relaxed

Results
Spin magnetization   0.00 Bohr magnetons per cell
Energy of formation   -119 meV/atom
Density of states at the Fermi level   2.94 states/eV per cell

Unit cell a=3.1965 b=3.5731 c=6.7359 alpha=90.00 beta=90.00 gamma=90.00
Fractional positions:
P1 0.5000 0.5000 0.2038
P2 0.0000 0.0000 0.9590
Ir1 0.5000 0.5000 0.8537
Sr1 0.0000 0.0000 0.4835